Density functional theory data (SCAN) for a crystal of CaLa2 relaxed with PBEsol.

Computed properties:
Symmetry: Cm, No. 8
E above lowest polymorph (meV/atom): 29
Crystal system: monoclinic
Raw total energy (eV per atom): -31.903
ΔH_f (0 K) (eV per formula unit): 0.2

a = 3.6978 Å, b = 7.1620 Å, c = 8.7812 Å
α = 105.17°, β = 90.00°, γ = 104.96°
With the nearest neighbours (Å) after each atom.
Fractional positions:
La1 0.9536 0.9073 0.3916  9 La 3.64-3.86, 3 Ca 3.65-3.73
La2 0.6663 0.3326 0.3288  8 La 3.50-3.86, 4 Ca 3.71-3.72
La3 0.6183 0.2366 0.7170  7 La 3.64-3.70, 5 Ca 3.67-3.84
La4 0.2658 0.5316 0.0690  8 La 3.50-3.77, 3 Ca 3.64-3.85
Ca1 0.9938 0.9876 0.9975  8 La 3.64-3.85, 4 Ca 3.66-3.70
Ca2 0.3355 0.6710 0.6629  4 Ca 3.66-3.70, 8 La 3.67-3.94



Density functional theory data (SCAN) for a crystal of CaLa2 relaxed with PBEsol.

Computed properties:
Symmetry: P-3m1, No. 164
E above lowest polymorph (meV/atom): 47
Crystal system: trigonal
Raw total energy (eV per atom): -31.885
ΔH_f (0 K) (eV per formula unit): 0.2

a = 3.5073 Å, b = 5.9464 Å, c = 5.9464 Å
α = 120.00°, β = 90.00°, γ = 90.00°
With the nearest neighbours (Å) after each atom.
Fractional positions:
La1 0.7200 0.6667 0.3333  5 La 3.51-3.76, 3 Ca 3.57
La2 0.2800 0.3333 0.6667  5 La 3.51-3.76, 3 Ca 3.57
Ca1 0.0000 0.0000 0.0000  2 Ca 3.51, 6 La 3.57



Density functional theory data (SCAN) for a crystal of Ca3La relaxed with PBEsol.

Computed properties:
Symmetry: Imm2, No. 44
E above lowest polymorph (meV/atom): 27
Crystal system: orthorhombic
Raw total energy (eV per atom): -17.967
ΔH_f (0 K) (eV per formula unit): 0.2

a = 3.7036 Å, b = 6.6340 Å, c = 7.3198 Å
α = 116.95°, β = 104.65°, γ = 90.00°
With the nearest neighbours (Å) after each atom.
Fractional positions:
Ca1 0.2518 0.2575 0.5037  9 Ca 3.70-3.84, 3 La 3.80-3.81
Ca2 0.5000 0.8279 0.0000  8 Ca 3.70-3.84, 4 La 3.80
Ca3 0.7482 0.7538 0.4963  9 Ca 3.70-3.84, 3 La 3.80-3.81
La1 0.0000 0.3274 0.0000  2 La 3.70, 10 Ca 3.80-3.81



Density functional theory data (SCAN) for a crystal of Ca3La relaxed with PBEsol.

Computed properties:
Symmetry: P4/mmm, No. 123
E above lowest polymorph (meV/atom): 47
Crystal system: tetragonal
Raw total energy (eV per atom): -17.947
ΔH_f (0 K) (eV per formula unit): 0.3

a = 4.2526 Å, b = 4.2526 Å, c = 8.5240 Å
α = 90.00°, β = 90.00°, γ = 90.00°
With the nearest neighbours (Å) after each atom.
Fractional positions:
Ca1 0.0000 0.0000 0.7459  4 La 3.67, 4 Ca 3.71
Ca2 0.5000 0.5000 0.0000  8 Ca 3.71
Ca3 0.0000 0.0000 0.2541  4 La 3.67, 4 Ca 3.71
La1 0.5000 0.5000 0.5000  8 Ca 3.67



Density functional theory data (SCAN) for a crystal of CaLa2 relaxed with PBEsol.

Computed properties:
Symmetry: I4/mmm, No. 139
E above lowest polymorph (meV/atom): 0
Crystal system: tetragonal
Raw total energy (eV per atom): -31.932
ΔH_f (0 K) (eV per formula unit): 0.1

a = 3.6728 Å, b = 3.6728 Å, c = 8.4648 Å
α = 102.53°, β = 102.53°, γ = 90.00°
With the nearest neighbours (Å) after each atom.
Fractional positions:
La1 0.6749 0.6749 0.3499  8 La 3.55-3.67, 4 Ca 3.83
La2 0.3251 0.3251 0.6501  8 La 3.55-3.67, 4 Ca 3.83
Ca1 0.0000 0.0000 0.0000  4 Ca 3.67, 8 La 3.83



Density functional theory data (SCAN) for a crystal of Ca2La relaxed with PBEsol.

Computed properties:
Symmetry: Cm, No. 8
E above lowest polymorph (meV/atom): 13
Crystal system: monoclinic
Raw total energy (eV per atom): -20.748
ΔH_f (0 K) (eV per formula unit): 0.2

a = 3.7021 Å, b = 7.2740 Å, c = 9.0887 Å
α = 105.74°, β = 90.00°, γ = 104.74°
With the nearest neighbours (Å) after each atom.
Fractional positions:
Ca1 0.3889 0.7778 0.2804  8 Ca 3.70-3.84, 4 La 3.90
Ca2 0.9992 0.9984 0.9970  4 La 3.68-3.84, 8 Ca 3.70-3.84
Ca3 0.3347 0.6694 0.6640  7 Ca 3.70-3.77, 5 La 3.74-3.80
Ca4 0.6632 0.3264 0.3340  9 Ca 3.70-3.82, 3 La 3.85-3.98
La1 0.0634 0.1267 0.6311  4 La 3.47-3.70, 6 Ca 3.68-3.85
La2 0.7173 0.4347 0.9268  4 La 3.47-3.70, 5 Ca 3.75-3.84